# 1
# BaTe2IBr

Crystalline BaTe2IBr at its relaxed geometry (GGA-PBEsol, the Alexandria database).

It has space group P4/mmm (No. 123), with a = 6.815 Å, b = 6.815 Å, c = 6.421 Å, α = 90.00°, β = 90.00° and γ = 90.00°. Symmetry generates all atoms from Ba at (0.000, 0.000, 0.000), Te at (0.000, 0.500, 0.000), I at (0.000, 0.000, 0.500) and Br at (0.500, 0.500, 0.500).

The crystal system is tetragonal. The total energy comes out at -2.4543 eV/atom. The total magnetization is 4.04 μB per formula unit. For the formation energy from raw total energies, the calculation gives 0.11 eV per atom.

=====

# 2
# Na3VSiBO7

Crystalline Na3VSiBO7 at its relaxed geometry (GGA-PBEsol, the Alexandria database).

It has space group P2_1/m (No. 11), with a = 5.288 Å, b = 6.513 Å, c = 8.820 Å, α = 90.00°, β = 91.80° and γ = 90.00°. Symmetry generates all atoms from Na at (0.238, 0.250, 0.081), Na at (0.251, 0.502, 0.744), V at (0.218, 0.750, 0.334), Si at (0.275, 0.250, 0.428), B at (0.273, 0.750, 0.063), O at (0.036, 0.750, 0.131), O at (0.096, 0.250, 0.576), O at (0.218, 0.050, 0.321), O at (0.313, 0.750, 0.914), O at (0.429, 0.750, 0.509) and O at (0.467, 0.750, 0.177).

The crystal system is monoclinic. The total energy comes out at -7.1765 eV/atom. The total magnetization is 1.00 μB per formula unit. For the formation energy from raw total energies, the calculation gives -2.30 eV per atom.

=====

# 3
# SrCa2La

Crystalline SrCa2La at its relaxed geometry (GGA-PBEsol, the Alexandria database).

It has space group Cmmm (No. 65), with a = 4.199 Å, b = 6.149 Å, c = 12.586 Å, α = 90.00°, β = 90.00° and γ = 90.00°. Symmetry generates all atoms from Sr at (0.000, 0.000, 0.000), Ca at (0.000, 0.500, 0.259) and La at (0.000, 0.000, 0.500).

As for the distance to the lowest polymorph of the same formula: 18 meV per atom. For the formation energy, the calculation gives 0.090 eV per atom. The crystal system is orthorhombic. The total energy comes out at -2.7731 eV/atom. The total magnetization is 0.00 μB per formula unit.

=====

# 4
# Mn2ZnCdS

Crystalline Mn2ZnCdS at its relaxed geometry (GGA-PBEsol, the Alexandria database).

It has space group P4/mmm (No. 123), with a = 4.972 Å, b = 4.972 Å, c = 4.706 Å, α = 90.00°, β = 90.00° and γ = 90.00°. Symmetry generates all atoms from Mn at (0.000, 0.500, 0.000), Zn at (0.000, 0.000, 0.500), Cd at (0.000, 0.000, 0.000) and S at (0.500, 0.500, 0.500).

The crystal system is tetragonal. The total energy comes out at -4.1540 eV/atom. The total magnetization is 8.67 μB per formula unit. For the formation energy from raw total energies, the calculation gives 1.18 eV per atom.

=====

# 5
# HgWAu2

Crystalline HgWAu2 at its relaxed geometry (GGA-PBEsol, the Alexandria database).

It has space group P4/mmm (No. 123), with a = 4.146 Å, b = 4.146 Å, c = 4.048 Å, α = 90.00°, β = 90.00° and γ = 90.00°. Symmetry generates all atoms from Hg at (0.000, 0.000, 0.000), W at (0.500, 0.500, 0.000) and Au at (0.000, 0.500, 0.500).

For the formation energy, the calculation gives 0.653 eV per atom. The crystal system is tetragonal. The total energy comes out at -4.9021 eV/atom. The total magnetization is 0.00 μB per formula unit.

=====

# 6
# Ti3PbO7

Crystalline Ti3PbO7 at its relaxed geometry (GGA-PBEsol, the Alexandria database).

It has space group P2_1/m (No. 11), with a = 6.599 Å, b = 3.797 Å, c = 10.730 Å, α = 90.00°, β = 98.10° and γ = 90.00°. Symmetry generates all atoms from Ti at (0.051, 0.250, 0.398), Ti at (0.193, 0.250, 0.065), Ti at (0.247, 0.750, 0.845), Pb at (0.497, 0.750, 0.350), O at (0.025, 0.750, 0.426), O at (0.065, 0.250, 0.214), O at (0.143, 0.750, 0.021), O at (0.246, 0.250, 0.883), O at (0.250, 0.750, 0.675), O at (0.333, 0.250, 0.443) and O at (0.455, 0.250, 0.130).

The crystal system is monoclinic. The total energy comes out at -8.7076 eV/atom. The total magnetization is 0.00 μB per formula unit. For the formation energy from raw total energies, the calculation gives -2.73 eV per atom.

=====

# 7
# KGe2Pd2

Crystalline KGe2Pd2 at its relaxed geometry (GGA-PBEsol, the Alexandria database).

It has space group I4/mmm (No. 139), with a = 4.361 Å, b = 4.361 Å, c = 10.452 Å, α = 90.00°, β = 90.00° and γ = 90.00°. Symmetry generates all atoms from K at (0.000, 0.000, 0.000), Ge at (0.000, 0.000, 0.366) and Pd at (0.000, 0.500, 0.250).

For the formation energy, the calculation gives -0.378 eV per atom. The crystal system is tetragonal. The total energy comes out at -4.9637 eV/atom. The total magnetization is 0.00 μB per formula unit.

=====

# 8
# CaTa2Tc

Crystalline CaTa2Tc at its relaxed geometry (GGA-PBEsol, the Alexandria database).

It has space group Cmmm (No. 65), with a = 5.584 Å, b = 9.630 Å, c = 2.704 Å, α = 90.00°, β = 90.00° and γ = 90.00°. Symmetry generates all atoms from Ca at (0.000, 0.000, 0.000), Ta at (0.250, 0.250, 0.500) and Tc at (0.000, 0.500, 0.000).

As for the distance to the lowest polymorph of the same formula: 255 meV per atom. For the formation energy, the calculation gives 0.691 eV per atom. The crystal system is orthorhombic. The total energy comes out at -8.9339 eV/atom. The total magnetization is 0.00 μB per formula unit.

=====

# 9
# Tc3HW

Crystalline Tc3HW at its relaxed geometry (GGA-PBEsol, the Alexandria database).

It has space group Pm-3m (No. 221), with a = 3.906 Å, b = 3.906 Å, c = 3.906 Å, α = 90.00°, β = 90.00° and γ = 90.00°. Symmetry generates all atoms from Tc at (0.000, 0.000, 0.500), H at (0.000, 0.000, 0.000) and W at (0.500, 0.500, 0.500).

The crystal system is cubic. The total energy comes out at -10.1337 eV/atom. The total magnetization is 0.00 μB per formula unit.

=====

# 10
# Cd2BiW

Crystalline Cd2BiW at its relaxed geometry (GGA-PBEsol, the Alexandria database).

It has space group Fm-3m (No. 225), with a = 7.063 Å, b = 7.063 Å, c = 7.063 Å, α = 90.00°, β = 90.00° and γ = 90.00°. Symmetry generates all atoms from Cd at (0.250, 0.250, 0.250), Bi at (0.000, 0.000, 0.000) and W at (0.000, 0.000, 0.500).

For the formation energy, the calculation gives 1.084 eV per atom. The crystal system is cubic. The total energy comes out at -4.0373 eV/atom. The total magnetization is 2.78 μB per formula unit.

=====

# 11
# TmGaNi

Crystalline TmGaNi at its relaxed geometry (GGA-PBEsol, the Alexandria database).

It has space group Pnma (No. 62), with a = 6.612 Å, b = 4.179 Å, c = 7.223 Å, α = 90.00°, β = 90.00° and γ = 90.00°. Symmetry generates all atoms from Tm at (0.020, 0.250, 0.192), Ga at (0.169, 0.250, 0.574) and Ni at (0.218, 0.750, 0.399).

For the formation energy, the calculation gives -0.701 eV per atom. The crystal system is orthorhombic. The total energy comes out at -5.4995 eV/atom. The total magnetization is 0.00 μB per formula unit.

=====

# 12
# PrSmFe4

Crystalline PrSmFe4 at its relaxed geometry (GGA-PBEsol, the Alexandria database).

It has space group F-43m (No. 216), with a = 7.247 Å, b = 7.247 Å, c = 7.247 Å, α = 90.00°, β = 90.00° and γ = 90.00°. Symmetry generates all atoms from Pr at (0.000, 0.000, 0.000), Sm at (0.250, 0.250, 0.250) and Fe at (0.125, 0.125, 0.625).

For the formation energy, the calculation gives 0.086 eV per atom. The crystal system is cubic. The total energy comes out at -7.6027 eV/atom. The total magnetization is 6.98 μB per formula unit.

=====

# 13
# NaCa3Rh

Crystalline NaCa3Rh at its relaxed geometry (GGA-PBEsol, the Alexandria database).

It has space group Pm-3m (No. 221), with a = 5.504 Å, b = 5.504 Å, c = 5.504 Å, α = 90.00°, β = 90.00° and γ = 90.00°. Symmetry generates all atoms from Na at (0.000, 0.000, 0.000), Ca at (0.000, 0.500, 0.500) and Rh at (0.500, 0.500, 0.500).

For the formation energy, the calculation gives -0.156 eV per atom. The crystal system is cubic. The total energy comes out at -3.3432 eV/atom. The total magnetization is 0.00 μB per formula unit.

=====

# 14
# Sc2InSe

Crystalline Sc2InSe at its relaxed geometry (GGA-PBEsol, the Alexandria database).

It has space group Imm2 (No. 44), with a = 3.461 Å, b = 4.423 Å, c = 11.222 Å, α = 90.00°, β = 90.00° and γ = 90.00°. Symmetry generates all atoms from Sc at (0.000, 0.000, 0.000), Sc at (0.000, 0.500, 0.234), In at (0.000, 0.000, 0.433) and Se at (0.000, 0.500, 0.686).

As for the distance to the lowest polymorph of the same formula: 253 meV per atom. The crystal system is orthorhombic. The total energy comes out at -5.8050 eV/atom. The total magnetization is 0.00 μB per formula unit. For the formation energy from raw total energies, the calculation gives -0.79 eV per atom.

=====

# 15
# ErBiO3

Crystalline ErBiO3 at its relaxed geometry (GGA-PBEsol, the Alexandria database).

It has space group R-3 (No. 148, hexagonal axes), with a = 5.9222 Å, b = 5.9222 Å, c = 14.7213 Å, α = 90.00°, β = 90.00° and γ = 120.00°. Symmetry generates all atoms from Er at (0.0000, 0.0000, 0.1416), Bi at (0.0000, 0.0000, 0.3603) and O at (0.0373, 0.2937, 0.7488).

The crystal system is trigonal. The total energy comes out at -7.4096 eV/atom. The total magnetization is 0.00 μB per formula unit. For the formation energy from raw total energies, the calculation gives -2.42 eV per atom.

=====

# 16
# Nd2PbSe4

Crystalline Nd2PbSe4 at its relaxed geometry (GGA-PBEsol, the Alexandria database).

It has space group I-42d (No. 122), with a = 8.905 Å, b = 8.905 Å, c = 8.893 Å, α = 90.00°, β = 90.00° and γ = 90.00°. Symmetry generates all atoms from Nd at (0.132, 0.750, 0.125), Pb at (0.000, 0.000, 0.500) and Se at (0.077, 0.671, 0.444).

The crystal system is tetragonal. The total energy comes out at -5.7545 eV/atom. The total magnetization is 0.00 μB per formula unit. For the formation energy from raw total energies, the calculation gives -1.51 eV per atom.

=====

# 17
# BaYTa2

Crystalline BaYTa2 at its relaxed geometry (GGA-PBEsol, the Alexandria database).

It has space group P2/m (No. 10), with a = 5.530 Å, b = 3.144 Å, c = 5.810 Å, α = 90.00°, β = 110.52° and γ = 90.00°. Symmetry generates all atoms from Ba at (0.000, 0.000, 0.000), Y at (0.500, 0.500, 0.000), Ta at (0.000, 0.500, 0.500) and Ta at (0.500, 0.000, 0.500).

As for the distance to the lowest polymorph of the same formula: 582 meV per atom. For the formation energy, the calculation gives 1.016 eV per atom. The crystal system is monoclinic. The total energy comes out at -7.5019 eV/atom. The total magnetization is 0.00 μB per formula unit.

=====

# 18
# AlAgOs

Crystalline AlAgOs at its relaxed geometry (GGA-PBEsol, the Alexandria database).

It has space group F-43m (No. 216), with a = 5.943 Å, b = 5.943 Å, c = 5.943 Å, α = 90.00°, β = 90.00° and γ = 90.00°. Symmetry generates all atoms from Al at (0.000, 0.000, 0.000), Ag at (0.250, 0.250, 0.750) and Os at (0.000, 0.000, 0.500).

As for the distance to the lowest polymorph of the same formula: 880 meV per atom. For the formation energy, the calculation gives 1.006 eV per atom. The crystal system is cubic. The total energy comes out at -5.5337 eV/atom. The total magnetization is 0.00 μB per formula unit.

=====

# 19
# CaCdS2Cl

Crystalline CaCdS2Cl at its relaxed geometry (GGA-PBEsol, the Alexandria database).

It has space group P4/mmm (No. 123), with a = 4.894 Å, b = 4.894 Å, c = 5.121 Å, α = 90.00°, β = 90.00° and γ = 90.00°. Symmetry generates all atoms from Ca at (0.000, 0.000, 0.000), Cd at (0.500, 0.500, 0.500), S at (0.000, 0.500, 0.500) and Cl at (0.500, 0.500, 0.000).

The crystal system is tetragonal. The total energy comes out at -3.5670 eV/atom. The total magnetization is 0.00 μB per formula unit. For the formation energy from raw total energies, the calculation gives -0.75 eV per atom.

=====

# 20
# SrAlP

Crystalline SrAlP at its relaxed geometry (GGA-PBEsol, the Alexandria database).

It has space group P3m1 (No. 156), with a = 3.9440 Å, b = 3.9440 Å, c = 5.4524 Å, α = 90.00°, β = 90.00° and γ = 120.00°. Symmetry generates all atoms from Sr at (0.0000, 0.0000, 0.0000), Al at (0.3333, 0.6667, 0.5467) and P at (0.6667, 0.3333, 0.3681).

For the formation energy, the calculation gives -0.635 eV per atom. The crystal system is trigonal. The total energy comes out at -4.5431 eV/atom. The total magnetization is 0.00 μB per formula unit.